No. 1
! Dy3Te2Pt GGA-PBE optimized geometry; values from VASP
! V = 186.83 Å³ per cell
! SG = Cmmm (65)
! uncorrected formation energy = -1.169 eV/atom
&SYSTEM
  ibrav = 0, nat = 6, ntyp = 3
/
ATOMIC_SPECIES
Dy 162.50 Dy.upf
Te 127.60 Te.upf
Pt 195.08 Pt.upf
ATOMIC_POSITIONS angstrom
Dy 0.0000 0.0000 0.0000
Dy 3.0360 1.8046 2.1178
Dy 3.0360 -1.8046 2.1178
Te 3.0360 4.9516 2.1178
Te 3.0360 -4.9516 2.1178
Pt 3.0360 0.0000 0.0000
CELL_PARAMETERS angstrom
3.0360 -7.2644 0.0000
3.0360 7.2644 0.0000
0.0000 0.0000 4.2356

***

No. 2
! Pa2Al3Si2 GGA-PBE optimized geometry; values from VASP
! V = 140.99 Å³ per cell
! SG = Cmmm (65)
! uncorrected formation energy = -0.217 eV/atom
&SYSTEM
  ibrav = 0, nat = 7, ntyp = 3
/
ATOMIC_SPECIES
Pa 231.04 Pa.upf
Al 26.98 Al.upf
Si 28.09 Si.upf
ATOMIC_POSITIONS angstrom
Pa 1.7857 6.3471 0.0000
Pa 1.7857 -6.3471 0.0000
Al 0.0000 0.0000 0.0000
Al 1.7857 1.3421 2.0883
Al 1.7857 -1.3421 2.0883
Si 1.7857 3.9578 2.0883
Si 1.7857 -3.9578 2.0883
CELL_PARAMETERS angstrom
1.7857 -9.4521 0.0000
1.7857 9.4521 0.0000
0.0000 0.0000 4.1767